(1)
Here is LiTbPrPt after structural relaxation from the Alexandria database. Energies are from PBE.

abc: 5.1014 5.1014 5.1014
angles: 60.00 60.00 60.00
Fractional coordinates of all 4 atoms:
Li  0.0000  0.0000  0.0000
Tb  0.2500  0.2500  0.2500
Pr  0.7500  0.7500  0.7500
Pt  0.5000  0.5000  0.5000

**Size of the total moment**: 0.0 Bohr magnetons per cell
**Crystal system**: cubic
**DFT formation energy**: -54.1 kJ per mole of atoms
**DOS(E_F)**: 3.70 states/eV/cell
**DFT total energy**: -4.90 eV per atom

(2)
Here is LiPrThPt after structural relaxation from the Alexandria database. Energies are from PBE.

abc: 5.1662 5.1662 5.1662
angles: 60.00 60.00 60.00
Fractional coordinates of all 4 atoms:
Li  0.0000  0.0000  0.0000
Pr  0.2500  0.2500  0.2500
Th  0.7500  0.7500  0.7500
Pt  0.5000  0.5000  0.5000

**Size of the total moment**: 0.0 Bohr magnetons per cell
**Crystal system**: cubic
**DFT formation energy**: -39.0 kJ per mole of atoms
**DOS(E_F)**: 5.14 states/eV/cell
**DFT total energy**: -5.44 eV per atom

What is the DOS(E_F) in the second record?
5.14 states/eV/cell

Among the records above, which one has the lowest DFT total energy?
LiPrThPt